DFT (PBE) results for crystalline Ho3Al7Pt4 at its relaxed geometry.

As for the formation energy: -98 kJ per mole of atoms.

a b c (Å): 4.2408 8.1144 8.3512
angles (deg): 70.14 75.29 74.85
Closest atoms and distances in Å follow each position.
Element x y z (fractional)
Ho1 0.3068 0.1895 0.1969  4 Pt 3.03-3.10, 10 Al 3.04-3.26
Ho2 0.6932 0.8105 0.8031  4 Pt 3.03-3.10, 10 Al 3.04-3.26
Ho3 0.0000 0.5000 0.5000  6 Pt 2.98-3.18, 2 Al 3.27
Al1 0.3179 0.8375 0.5266  4 Pt 2.56-2.63, 1 Al 2.74
Al2 0.4952 0.2148 0.7947  3 Pt 2.53-2.64, 1 Al 2.74
Al3 0.8452 0.3862 0.9235  3 Pt 2.55-2.62
Al4 0.6821 0.1625 0.4734  4 Pt 2.56-2.63, 1 Al 2.74
Al5 0.1548 0.6138 0.0765  3 Pt 2.55-2.62
Al6 0.0000 0.0000 0.0000  2 Pt 2.63, 6 Al 2.90-2.91
Al7 0.5048 0.7852 0.2053  3 Pt 2.53-2.64, 1 Al 2.74
Pt1 0.6607 0.4575 0.2210  5 Al 2.53-2.62
Pt2 0.3393 0.5425 0.7790  5 Al 2.53-2.62
Pt3 0.8829 0.8940 0.3402  6 Al 2.56-2.64
Pt4 0.1171 0.1060 0.6598  6 Al 2.56-2.64